Record 1
A geometry-optimized Na3Cd2In8 structure, computed with PBE.

It has space group R-3m (No. 166, hexagonal axes), with a = 6.1199 Å, b = 6.1199 Å, c = 35.0938 Å, α = 90.00°, β = 90.00° and γ = 120.00°. The distinct sites, in fractional coordinates, are Na at (0.0000, 0.0000, 0.0000), Na at (0.0000, 0.0000, 0.1840), Cd at (0.0000, 0.0000, 0.3599), In at (0.0000, 0.0000, 0.2782) and In at (0.0008, 0.5004, 0.7678).

Its density of states at the Fermi level is 7.18 states/eV/f.u. For the energy of formation from the pure elements, the calculation gives 0.19 eV/f.u. The density comes out at 5.31 g cm⁻³.

---

Record 2
A geometry-optimized Sr4HgPt3 structure, computed with PBE.

It has space group Pmm2 (No. 25), with a = 4.3220 Å, b = 4.6367 Å, c = 11.3849 Å, α = 90.00°, β = 90.00° and γ = 90.00°. The distinct sites, in fractional coordinates, are Sr at (0.0000, 0.0000, 0.0000), Sr at (0.0000, 0.5000, 0.2609), Sr at (0.5000, 0.0000, 0.4701), Sr at (0.5000, 0.5000, 0.7730), Hg at (0.0000, 0.0000, 0.6957), Pt at (0.0000, 0.5000, 0.5522), Pt at (0.5000, 0.0000, 0.1991) and Pt at (0.5000, 0.5000, 0.0511).

Its density of states at the Fermi level is 3.45 states/eV/f.u. For the energy of formation from the pure elements, the calculation gives -5.89 eV/f.u. The density comes out at 8.27 g cm⁻³.

---

Record 3
A geometry-optimized CsHg2SbS4 structure, computed with PBE.

It has space group I222 (No. 23), with a = 6.9426 Å, b = 8.3932 Å, c = 9.3198 Å, α = 90.00°, β = 90.00° and γ = 90.00°. The distinct sites, in fractional coordinates, are Cs at (0.0000, 0.0000, 0.0000), Hg at (0.0000, 0.5000, 0.1789), Sb at (0.0000, 0.0000, 0.5000) and S at (0.2291, 0.1715, 0.3277).

The energy relative to the elements, uncorrected is -34.00 kJ per mole of atoms. The density comes out at 4.80 g cm⁻³.

---

Number 1: V 379.4 Å³/f.u.. Number 2: V 228.1 Å³/f.u.. Number 3: V 271.5 Å³/f.u..